No. 1
A geometry-optimized In2AsAu structure. Source: Alexandria, functional GGA-PBE. Values from VASP.

Structure (Quantum ESPRESSO input):
```
&SYSTEM
  ibrav = 0, nat = 4, ntyp = 3
/
ATOMIC_SPECIES
In 114.82 In.upf
As 74.92 As.upf
Au 196.97 Au.upf
CELL_PARAMETERS angstrom
2.150 -2.461 0.000
2.150 2.461 0.000
0.000 0.000 8.422
ATOMIC_POSITIONS angstrom
In 0.000 0.000 2.009
In 0.000 0.000 6.413
As 2.150 0.000 4.211
Au 2.150 0.000 0.000
```

Output
Its space group is Cmmm (65). The value obtained for the density of states at the Fermi level is 1.863 states/eV/cell. The value obtained for the calculated formation energy is 5.47 kJ/mol of atoms. The calculation puts the energy relative to the lowest polymorph listed for this composition at 163 meV/atom. As for the crystal system: orthorhombic.



No. 2
A geometry-optimized La6Rh3ICl2 structure. Source: Alexandria, functional GGA-PBE. Values from VASP.

Structure (Quantum ESPRESSO input):
```
&SYSTEM
  ibrav = 0, nat = 12, ntyp = 4
/
ATOMIC_SPECIES
La 138.91 La.upf
Rh 102.91 Rh.upf
I 126.90 I.upf
Cl 35.45 Cl.upf
CELL_PARAMETERS angstrom
9.990 -2.089 0.000
9.990 2.089 0.000
-3.381 0.000 8.629
ATOMIC_POSITIONS angstrom
La -0.474 0.000 1.858
La 4.878 0.000 3.842
La 3.816 0.000 7.708
La 12.783 0.000 0.921
La 11.721 0.000 4.787
La 17.073 0.000 6.770
Rh 2.231 0.000 2.839
Rh 9.990 0.000 0.000
Rh 14.368 0.000 5.790
I 8.300 0.000 4.314
Cl 0.556 0.000 7.225
Cl 16.043 0.000 1.403
```

Output
Its space group is C2/m (12). The value obtained for the raw formation energy is -1.198 eV per atom. The value obtained for the density of states at the Fermi level is 3.133 states/eV/cell. As for the crystal system: monoclinic.



No. 3
A geometry-optimized Li3TcP structure. Source: Alexandria, functional GGA-PBE. Values from VASP.

Structure (Quantum ESPRESSO input):
```
&SYSTEM
  ibrav = 0, nat = 5, ntyp = 3
/
ATOMIC_SPECIES
Li 6.94 Li.upf
Tc 98.00 Tc.upf
P 30.97 P.upf
CELL_PARAMETERS angstrom
4.537 0.000 0.000
0.000 4.537 0.000
0.000 0.000 4.537
ATOMIC_POSITIONS angstrom
Li 0.000 0.000 2.269
Li 0.000 2.269 0.000
Li 2.269 0.000 0.000
Tc 2.269 2.269 2.269
P 0.000 0.000 0.000
```

Output
Its space group is Pm-3m (221). The value obtained for the density of states at the Fermi level is 3.154 states/eV/cell. The value obtained for the calculated formation energy is 53.92 kJ/mol of atoms. The calculation puts the energy relative to the lowest polymorph listed for this composition at 0 meV/atom. As for the crystal system: cubic.



No. 4
A geometry-optimized ReAsSe structure. Source: Alexandria, functional GGA-PBE. Values from VASP.

Structure (Quantum ESPRESSO input):
```
&SYSTEM
  ibrav = 0, nat = 3, ntyp = 3
/
ATOMIC_SPECIES
Re 186.21 Re.upf
As 74.92 As.upf
Se 78.96 Se.upf
CELL_PARAMETERS angstrom
-1.508 1.508 6.512
1.508 -1.508 6.512
1.508 1.508 -6.512
ATOMIC_POSITIONS angstrom
Re 0.000 0.000 0.000
As 0.000 0.000 4.867
Se 0.000 0.000 8.035
```

Output
Its space group is I4mm (107). The value obtained for the raw formation energy is 0.074 eV per atom. The value obtained for the density of states at the Fermi level is 0.827 states/eV/cell. As for the crystal system: tetragonal.



No. 5
A geometry-optimized Ba8Pd3Cl structure. Source: Alexandria, functional GGA-PBE. Values from VASP.

Structure (Quantum ESPRESSO input):
```
&SYSTEM
  ibrav = 0, nat = 12, ntyp = 3
/
ATOMIC_SPECIES
Ba 137.33 Ba.upf
Pd 106.42 Pd.upf
Cl 35.45 Cl.upf
CELL_PARAMETERS angstrom
7.991 -4.672 0.000
7.991 4.672 0.000
-5.276 0.000 7.620
ATOMIC_POSITIONS angstrom
Ba 3.933 2.431 5.698
Ba 2.552 0.000 1.954
Ba 0.087 0.000 5.579
Ba 6.773 2.431 1.923
Ba 3.933 -2.431 5.698
Ba 10.620 0.000 2.042
Ba 8.155 0.000 5.667
Ba 6.773 -2.431 1.923
Pd 0.000 0.000 0.000
Pd 1.358 2.336 3.810
Pd 1.358 -2.336 3.810
Cl 7.991 0.000 0.000
```

Output
Its space group is C2/m (12). The value obtained for the raw formation energy is -0.615 eV per atom. The value obtained for the density of states at the Fermi level is 8.657 states/eV/cell. As for the crystal system: monoclinic.



No. 6
A geometry-optimized BeGaSn2 structure. Source: Alexandria, functional GGA-PBE. Values from VASP.

Structure (Quantum ESPRESSO input):
```
&SYSTEM
  ibrav = 0, nat = 8, ntyp = 3
/
ATOMIC_SPECIES
Be 9.01 Be.upf
Ga 69.72 Ga.upf
Sn 118.71 Sn.upf
CELL_PARAMETERS angstrom
-2.542 2.542 7.506
2.542 -2.542 7.506
2.542 2.542 -7.506
ATOMIC_POSITIONS angstrom
Be 0.000 0.000 0.000
Be 0.000 2.542 3.753
Ga 2.542 0.000 3.753
Ga 0.000 0.000 7.506
Sn 3.813 1.012 -1.877
Sn 1.012 1.271 1.877
Sn -1.271 1.530 5.630
Sn 1.530 1.271 9.383
```

Output
Its space group is I-42d (122). The value obtained for the density of states at the Fermi level is 2.599 states/eV/cell. The value obtained for the calculated formation energy is 28.26 kJ/mol of atoms. The calculation puts the energy relative to the lowest polymorph listed for this composition at 0 meV/atom. As for the crystal system: tetragonal.



No. 7
A geometry-optimized ZrTaWS2 structure. Source: Alexandria, functional GGA-PBE. Values from VASP.

Structure (Quantum ESPRESSO input):
```
&SYSTEM
  ibrav = 0, nat = 5, ntyp = 4
/
ATOMIC_SPECIES
Zr 91.22 Zr.upf
Ta 180.95 Ta.upf
W 183.84 W.upf
S 32.06 S.upf
CELL_PARAMETERS angstrom
4.608 0.000 0.000
0.000 4.608 0.000
0.000 0.000 5.157
ATOMIC_POSITIONS angstrom
Zr 0.000 0.000 0.000
Ta 2.304 2.304 2.579
W 2.304 2.304 0.000
S 0.000 2.304 2.579
S 2.304 0.000 2.579
```

Output
Its space group is P4/mmm (123). The value obtained for the raw formation energy is 0.687 eV per atom. The value obtained for the density of states at the Fermi level is 5.995 states/eV/cell. As for the crystal system: tetragonal.



No. 8
A geometry-optimized Y2PS structure. Source: Alexandria, functional GGA-PBE. Values from VASP.

Structure (Quantum ESPRESSO input):
```
&SYSTEM
  ibrav = 0, nat = 8, ntyp = 3
/
ATOMIC_SPECIES
Y 88.91 Y.upf
P 30.97 P.upf
S 32.06 S.upf
CELL_PARAMETERS angstrom
6.720 0.000 0.000
0.000 6.824 0.000
0.000 0.000 3.888
ATOMIC_POSITIONS angstrom
Y 1.121 1.673 0.000
Y 2.239 5.086 1.944
Y 4.480 1.739 1.944
Y 5.599 5.151 0.000
P 0.000 0.000 1.944
P 3.360 3.412 0.000
S 0.000 3.412 1.944
S 3.360 0.000 0.000
```

Output
Its space group is Pnnm (58). The value obtained for the raw formation energy is -1.759 eV per atom. The value obtained for the density of states at the Fermi level is 2.968 states/eV/cell. The calculation puts the energy relative to the lowest polymorph listed for this composition at 122 meV/atom. As for the crystal system: orthorhombic.



No. 9
A geometry-optimized NiSbPt6 structure. Source: Alexandria, functional GGA-PBE. Values from VASP.

Structure (Quantum ESPRESSO input):
```
&SYSTEM
  ibrav = 0, nat = 8, ntyp = 3
/
ATOMIC_SPECIES
Ni 58.69 Ni.upf
Sb 121.76 Sb.upf
Pt 195.08 Pt.upf
CELL_PARAMETERS angstrom
0.000 3.891 5.832
2.786 0.000 5.832
2.786 3.891 0.000
ATOMIC_POSITIONS angstrom
Ni 0.000 0.000 0.000
Sb 2.786 3.891 5.832
Pt 1.393 1.945 1.432
Pt 2.786 3.891 2.824
Pt 1.393 1.945 4.400
Pt 4.178 5.836 7.264
Pt 2.786 3.891 8.840
Pt 4.178 5.836 10.231
```

Output
Its space group is Fmmm (69). The value obtained for the raw formation energy is -0.121 eV per atom. The value obtained for the density of states at the Fermi level is 10.885 states/eV/cell. As for the crystal system: orthorhombic.



No. 10
A geometry-optimized ZnPOs3 structure. Source: Alexandria, functional GGA-PBE. Values from VASP.

Structure (Quantum ESPRESSO input):
```
&SYSTEM
  ibrav = 0, nat = 5, ntyp = 3
/
ATOMIC_SPECIES
Zn 65.41 Zn.upf
P 30.97 P.upf
Os 190.23 Os.upf
CELL_PARAMETERS angstrom
4.484 0.000 0.000
0.000 4.484 0.000
0.000 0.000 4.484
ATOMIC_POSITIONS angstrom
Zn 0.000 0.000 0.000
P 2.242 2.242 2.242
Os 0.000 0.000 2.242
Os 0.000 2.242 0.000
Os 2.242 0.000 0.000
```

Output
Its space group is Pm-3m (221). The value obtained for the density of states at the Fermi level is 6.298 states/eV/cell. The value obtained for the calculated formation energy is 231.70 kJ/mol of atoms. The calculation puts the energy relative to the lowest polymorph listed for this composition at 1496 meV/atom. As for the crystal system: cubic.